VASP calculation (PBE-GGA) on a relaxed AcCoSn5 crystal.

Summary:
The total energy comes out at -4.719 eV/atom. The density of states at the Fermi level is 4.15 states/eV/f.u. The formation energy is -1.81 eV/f.u.

Geometry as CIF:
```
data_AcCoSn5
_cell_length_a 4.715
_cell_length_b 4.715
_cell_length_c 8.004
_cell_angle_alpha 90.00
_cell_angle_beta 90.00
_cell_angle_gamma 90.00
_space_group_name_H-M_alt 'P 4/m m m'
_space_group_IT_number 123
_space_group_name_Hall '-P 4 2'
loop_
_atom_site_label
_atom_site_type_symbol
_atom_site_fract_x
_atom_site_fract_y
_atom_site_fract_z
_atom_site_occupancy
Ac1 Ac 0.000 0.000 0.000 1
Co1 Co 0.000 0.000 0.500 1
Sn1 Sn 0.000 0.500 0.316 1
Sn2 Sn 0.500 0.500 0.000 1
```